DFT (PBE) results for a geometry-optimized TbReO4 structure.

Cell and atoms, written as CIF:
```
data_TbReO4
_chemical_formula_sum 'Tb2 Re2 O8'
_cell_length_a 5.366
_cell_length_b 5.074
_cell_length_c 6.549
_cell_angle_alpha 109.71
_cell_angle_beta 111.25
_cell_angle_gamma 97.02
_symmetry_space_group_name_H-M 'P 1'
_symmetry_Int_Tables_number 1
_symmetry_space_group_name_Hall 'P 1'
loop_
_atom_site_label
_atom_site_type_symbol
_atom_site_fract_x
_atom_site_fract_y
_atom_site_fract_z
Tb1 Tb 0.364 0.614 0.227
Tb2 Tb 0.636 0.386 0.773
Re1 Re 0.094 0.844 0.687
Re2 Re 0.906 0.156 0.313
O1 O 0.936 0.288 0.082
O2 O 0.646 0.795 0.082
O3 O 0.267 0.554 0.560
O4 O 0.733 0.446 0.440
O5 O 0.207 0.994 0.440
O6 O 0.354 0.205 0.918
O7 O 0.793 0.006 0.560
O8 O 0.064 0.712 0.918
```

Properties
Space-group type: C2/c
E above lowest polymorph: 52 kJ/mol of formula units

DFT (PBE) results for a geometry-optimized ZrMnRuPt structure.

Cell and atoms, written as CIF:
```
data_ZrMnRuPt
_chemical_formula_sum 'Zr1 Mn1 Ru1 Pt1'
_cell_length_a 4.533
_cell_length_b 4.533
_cell_length_c 4.533
_cell_angle_alpha 60.00
_cell_angle_beta 60.00
_cell_angle_gamma 60.00
_symmetry_space_group_name_H-M 'P 1'
_symmetry_Int_Tables_number 1
_symmetry_space_group_name_Hall 'P 1'
loop_
_atom_site_label
_atom_site_type_symbol
_atom_site_fract_x
_atom_site_fract_y
_atom_site_fract_z
Ru1 Ru 0.250 0.250 0.250
Mn1 Mn 0.500 0.500 0.500
Zr1 Zr 0.000 0.000 0.000
Pt1 Pt 0.750 0.750 0.750
```

Properties
Calculated formation energy: -0.476 eV per atom
Space-group type: F-43m